Crystalline AlVFe at its relaxed geometry, computed with PBE.

Unit cell a=2.926 b=4.115 c=6.364 alpha=90.00 beta=103.29 gamma=90.00
Element x y z (fractional)
V 0.764 0.250 0.528
V 0.236 0.750 0.472
Al 0.080 0.250 0.160
Al 0.920 0.750 0.840
Fe 0.413 0.250 0.827
Fe 0.587 0.750 0.173

Computed properties:
Total magnetic moment   0.00 μB per formula unit
Uncorrected energy   -7.417 eV/atom
Energy of formation from the pure elements   -309 meV/atom